This record from Alexandria describes LaInTc after structural relaxation. The functional is PBE-GGA.

```
LaInTc
1.0
3.610 0.000 0.000
-1.805 3.126 0.000
0.000 0.000 6.624
La In Tc
1 1 1
Direct
0.000 0.000 0.000
0.333 0.667 0.573
0.667 0.333 0.299
```

Computed properties:
* density: 7.8 Mg/m³
* space-group type: P3m1 (156)
* formation energy: 0.282 eV/atom
* energy: -5.729 eV per atom